No. 1
This record from the Alexandria database describes a PBEsol-optimized structure of ZrSc. The functional is meta-GGA SCAN.

Results
- ΔH_f (0 K): 0.007 eV/atom
- Space group: Pmma (51)

```
ZrSc
1.0
5.0609 0.0000 0.0000
0.0000 3.1798 0.0000
0.0000 0.0000 5.6174
Zr Sc
2 2
Direct
0.2500 0.0000 0.1635
0.7500 0.0000 0.8365
0.2500 0.5000 0.6617
0.7500 0.5000 0.3383
```


No. 2
This record from the Alexandria database describes a PBEsol-optimized structure of KCd2Ag. The functional is meta-GGA SCAN.

Results
- Energy relative to the lowest polymorph listed for this composition: 15 meV/atom
- ΔH_f (0 K): 0.007 eV/atom
- Space group: P4/mmm (123)

```
KCd2Ag
1.0
3.4768 0.0000 0.0000
0.0000 3.4768 0.0000
0.0000 0.0000 8.2447
K Cd Ag
1 2 1
Direct
0.0000 0.0000 0.0000
0.5000 0.5000 0.3139
0.5000 0.5000 0.6861
0.0000 0.0000 0.5000
```


No. 3
This record from the Alexandria database describes a PBEsol-optimized structure of Sc3SbPt. The functional is meta-GGA SCAN.

Results
- ΔE_f (raw): -0.71 eV per atom
- Space group: Pm-3m (221)

```
Sc3SbPt
1.0
5.0022 0.0000 0.0000
0.0000 5.0022 0.0000
0.0000 0.0000 5.0022
Sc Sb Pt
3 1 1
Direct
0.0000 0.0000 0.5000
0.0000 0.5000 0.0000
0.5000 0.0000 0.0000
0.5000 0.5000 0.5000
0.0000 0.0000 0.0000
```


No. 4
This record from the Alexandria database describes a PBEsol-optimized structure of NiSb2TeN. The functional is meta-GGA SCAN.

Results
- ΔE_f (raw): 1.20 eV per atom
- Energy relative to the lowest polymorph listed for this composition: 231 meV/atom
- Space group: P4/mmm (123)

```
NiSb2TeN
1.0
4.8596 0.0000 0.0000
0.0000 4.8596 0.0000
0.0000 0.0000 4.9987
Ni Sb Te N
1 2 1 1
Direct
0.0000 0.0000 0.0000
0.0000 0.5000 0.0000
0.5000 0.0000 0.0000
0.0000 0.0000 0.5000
0.5000 0.5000 0.5000
```


No. 5
This record from the Alexandria database describes a PBEsol-optimized structure of HgP2W. The functional is meta-GGA SCAN.

Results
- ΔH_f (0 K): 0.337 eV/atom
- Space group: Cmmm (65)

```
HgP2W
1.0
1.6449 -2.3106 0.0000
1.6449 2.3106 0.0000
0.0000 0.0000 9.7450
Hg P W
1 2 1
Direct
0.0000 0.0000 0.0000
0.5000 0.5000 0.3136
0.5000 0.5000 0.6864
0.0000 0.0000 0.5000
```


No. 6
This record from the Alexandria database describes a PBEsol-optimized structure of CuMoAu2. The functional is meta-GGA SCAN.

Results
- Energy relative to the lowest polymorph listed for this composition: 0 meV/atom
- ΔH_f (0 K): 0.170 eV/atom
- Space group: Pmm2 (25)

```
CuMoAu2
1.0
2.6891 0.0000 0.0000
0.0000 4.5304 0.0000
0.0000 0.0000 4.9938
Cu Mo Au
1 1 2
Direct
0.0000 0.0000 0.0000
0.0000 0.5000 0.3218
0.5000 0.0000 0.4886
0.5000 0.5000 0.8345
```


No. 7
This record from the Alexandria database describes a PBEsol-optimized structure of Ba2CaTl. The functional is meta-GGA SCAN.

Results
- Energy relative to the lowest polymorph listed for this composition: 158 meV/atom
- ΔH_f (0 K): -0.163 eV/atom
- Space group: R3m (160)

```
Ba2CaTl
1.0
2.0669 1.1933 11.9861
-2.0669 1.1933 11.9861
0.0000 -2.3867 11.9861
Ba Ca Tl
2 1 1
Direct
0.0000 0.0000 0.0000
0.2286 0.2286 0.2286
0.7626 0.7626 0.7626
0.4905 0.4905 0.4905
```


No. 8
This record from the Alexandria database describes a PBEsol-optimized structure of Ta2Pt3. The functional is meta-GGA SCAN.

Results
- ΔH_f (0 K): -0.444 eV/atom
- Space group: R-3m (166)

```
Ta2Pt3
1.0
1.4138 0.8162 11.4625
-1.4138 0.8162 11.4625
0.0000 -1.6325 11.4625
Ta Pt
2 3
Direct
0.0991 0.0991 0.0991
0.9009 0.9009 0.9009
0.2988 0.2988 0.2988
0.5000 0.5000 0.5000
0.7012 0.7012 0.7012
```


No. 9
This record from the Alexandria database describes a PBEsol-optimized structure of LaScP2. The functional is meta-GGA SCAN.

Results
- Energy relative to the lowest polymorph listed for this composition: 567 meV/atom
- ΔH_f (0 K): -1.101 eV/atom
- Space group: Pmmm (47)

```
LaScP2
1.0
3.5763 0.0000 0.0000
0.0000 4.4094 0.0000
0.0000 0.0000 5.2662
La Sc P
1 1 2
Direct
0.0000 0.0000 0.0000
0.0000 0.5000 0.5000
0.5000 0.0000 0.5000
0.5000 0.5000 0.0000
```


No. 10
This record from the Alexandria database describes a PBEsol-optimized structure of LiCuCl2. The functional is meta-GGA SCAN.

Results
- ΔE_f (raw): -1.21 eV per atom
- Space group: R-3m (166)

```
LiCuCl2
1.0
1.8413 1.0631 6.8468
-1.8413 1.0631 6.8468
0.0000 -2.1262 6.8468
Li Cu Cl
1 1 2
Direct
0.0000 0.0000 0.0000
0.5000 0.5000 0.5000
0.3984 0.3984 0.3984
0.6016 0.6016 0.6016
```


No. 11
This record from the Alexandria database describes a PBEsol-optimized structure of CaNb2TcSn. The functional is meta-GGA SCAN.

Results
- ΔH_f (0 K): 1.713 eV/atom
- Space group: P4/mmm (123)

```
CaNb2TcSn
1.0
5.0681 0.0000 0.0000
0.0000 5.0681 0.0000
0.0000 0.0000 5.3008
Ca Nb Tc Sn
1 2 1 1
Direct
0.0000 0.0000 0.0000
0.0000 0.5000 0.5000
0.5000 0.0000 0.5000
0.5000 0.5000 0.0000
0.0000 0.0000 0.5000
```


No. 12
This record from the Alexandria database describes a PBEsol-optimized structure of YP2F. The functional is meta-GGA SCAN.

Results
- ΔE_f (raw): -0.59 eV per atom
- Space group: Fm-3m (225)

```
YP2F
1.0
0.0000 3.2354 3.2354
3.2354 0.0000 3.2354
3.2354 3.2354 0.0000
Y P F
1 2 1
Direct
0.0000 0.0000 0.0000
0.2500 0.2500 0.2500
0.7500 0.7500 0.7500
0.5000 0.5000 0.5000
```


No. 13
This record from the Alexandria database describes a PBEsol-optimized structure of BePt2. The functional is meta-GGA SCAN.

Results
- ΔH_f (0 K): -0.676 eV/atom
- Space group: I4_1/amd (141)

```
BePt2
1.0
-1.3655 1.3655 10.3638
1.3655 -1.3655 10.3638
1.3655 1.3655 -10.3638
Be Pt
2 4
Direct
0.3750 0.6250 0.7500
0.6250 0.3750 0.2500
0.0568 0.8068 0.2500
0.1932 0.9432 0.2500
0.8068 0.0568 0.7500
0.9432 0.1932 0.7500
```


No. 14
This record from the Alexandria database describes a PBEsol-optimized structure of BaCuSi2. The functional is meta-GGA SCAN.

Results
- ΔE_f (raw): -0.06 eV per atom
- Space group: Immm (71)

```
BaCuSi2
1.0
-2.0343 3.2371 3.7570
2.0343 -3.2371 3.7570
2.0343 3.2371 -3.7570
Ba Cu Si
1 1 2
Direct
0.0000 0.0000 0.0000
0.5000 0.5000 0.0000
0.3457 0.8457 0.5000
0.6543 0.1543 0.5000
```


No. 15
This record from the Alexandria database describes a PBEsol-optimized structure of KLiPbO2. The functional is meta-GGA SCAN.

Results
- ΔE_f (raw): -0.43 eV per atom
- Space group: P4/mmm (123)

```
KLiPbO2
1.0
4.5740 0.0000 0.0000
0.0000 4.5740 0.0000
0.0000 0.0000 4.8657
K Li Pb O
1 1 1 2
Direct
0.0000 0.0000 0.0000
0.5000 0.5000 0.0000
0.5000 0.5000 0.5000
0.0000 0.5000 0.5000
0.5000 0.0000 0.5000
```


No. 16
This record from the Alexandria database describes a PBEsol-optimized structure of La2Tl2Sn. The functional is meta-GGA SCAN.

Results
- ΔH_f (0 K): -0.652 eV/atom
- Space group: P4/mbm (127)

```
La2Tl2Sn
1.0
7.8858 0.0000 0.0000
0.0000 7.8858 0.0000
0.0000 0.0000 4.7552
La Tl Sn
4 4 2
Direct
0.1701 0.3299 0.0000
0.3299 0.8299 0.0000
0.6701 0.1701 0.0000
0.8299 0.6701 0.0000
0.1323 0.6323 0.5000
0.3677 0.1323 0.5000
0.6323 0.8677 0.5000
0.8677 0.3677 0.5000
0.0000 0.0000 0.5000
0.5000 0.5000 0.5000
```


No. 17
This record from the Alexandria database describes a PBEsol-optimized structure of BaMg6W. The functional is meta-GGA SCAN.

Results
- ΔH_f (0 K): 0.401 eV/atom
- Space group: P4/mmm (123)

```
BaMg6W
1.0
6.6679 0.0000 0.0000
0.0000 6.6679 0.0000
0.0000 0.0000 4.2515
Ba Mg W
1 6 1
Direct
0.0000 0.0000 0.0000
0.0000 0.5000 0.0000
0.2885 0.2885 0.5000
0.2885 0.7115 0.5000
0.5000 0.0000 0.0000
0.7115 0.2885 0.5000
0.7115 0.7115 0.5000
0.5000 0.5000 0.0000
```


No. 18
This record from the Alexandria database describes a PBEsol-optimized structure of NaGa2TeI. The functional is meta-GGA SCAN.

Results
- ΔE_f (raw): 0.08 eV per atom
- Space group: P4/mmm (123)

```
NaGa2TeI
1.0
5.3739 0.0000 0.0000
0.0000 5.3739 0.0000
0.0000 0.0000 8.4830
Na Ga Te I
1 2 1 1
Direct
0.0000 0.0000 0.0000
0.0000 0.5000 0.5000
0.5000 0.0000 0.5000
0.5000 0.5000 0.5000
0.5000 0.5000 0.0000
```


No. 19
This record from the Alexandria database describes a PBEsol-optimized structure of Fe2CoP. The functional is meta-GGA SCAN.

Results
- ΔH_f (0 K): 0.039 eV/atom
- Space group: P2/m (10)

```
Fe2CoP
1.0
2.5363 0.0000 0.0000
0.0000 3.5239 0.0000
-1.0275 0.0000 4.5219
Fe Co P
2 1 1
Direct
0.1282 0.0000 0.2589
0.8718 0.0000 0.7411
0.5000 0.5000 0.0000
0.5000 0.5000 0.5000
```


No. 20
This record from the Alexandria database describes a PBEsol-optimized structure of YSiPb3. The functional is meta-GGA SCAN.

Results
- ΔE_f (raw): 0.90 eV per atom
- Space group: Pm-3m (221)

```
YSiPb3
1.0
5.6972 0.0000 0.0000
0.0000 5.6972 0.0000
0.0000 0.0000 5.6972
Y Si Pb
1 1 3
Direct
0.0000 0.0000 0.0000
0.5000 0.5000 0.5000
0.0000 0.0000 0.5000
0.0000 0.5000 0.0000
0.5000 0.0000 0.0000
```